# 1
Below is crystalline NiAg3Sn3S8 at its relaxed geometry, with properties calculated at the PBE level.

Calculated values
**SG**: C2/m (12)
**Density of states at the Fermi level**: 6.015 states/eV/cell

a = 7.473 Å, b = 7.470 Å, c = 7.771 Å
α = 118.72°, β = 89.99°, γ = 120.07°
Fractional positions:
Sn 0.500 0.000 0.500
S 0.226 0.452 0.718
S 0.252 0.503 0.256
S 0.768 0.993 0.719
S 0.774 0.007 0.281
Ni 0.000 0.000 0.500
S 0.748 0.497 0.744
Ag 0.500 0.500 0.000
Sn 0.500 0.500 0.500
Sn 0.000 0.500 0.500
Ag 0.000 0.000 0.000
S 0.232 0.007 0.281
Ag 0.000 0.500 0.000
S 0.774 0.548 0.282
S 0.226 0.993 0.719

---

# 2
Below is crystalline SbTe2W at its relaxed geometry, with properties calculated at the PBE level.

Calculated values
**SG**: I4/mmm (139)
**Density of states at the Fermi level**: 2.069 states/eV/cell

a = 5.180 Å, b = 5.180 Å, c = 5.178 Å
α = 70.08°, β = 70.08°, γ = 108.63°
Fractional positions:
Te 0.000 0.000 0.000
Sb 0.000 0.500 0.500
W 0.500 0.000 0.500
Te 0.500 0.500 0.000

---

| no. | calculated total energy (eV/f.u.) |
| --- | --- |
| 1 | -62.8 |
| 2 | -20.0 |